DFT (GGA-PBE) results for crystalline Li2Tb2PmIn2 at its relaxed geometry.

Geometry as POSCAR:
```
Li2Tb2PmIn2
1.0
2.452 1.416 8.840
-2.452 1.416 8.840
0.000 -2.832 8.840
Li Tb Pm In
2 2 1 2
Cartesian
0.000 0.000 2.675
0.000 0.000 23.845
0.000 0.000 9.864
0.000 0.000 16.656
0.000 0.000 13.260
0.000 0.000 6.343
0.000 0.000 20.177
```

Properties
Total DFT energy (no corrections) ... -3.5667 eV per atom
Total magnetic moment ... 0.0 μB per cell
Crystal system ... trigonal

***

DFT (GGA-PBE) results for crystalline ZrZnIrPt at its relaxed geometry.

Geometry as POSCAR:
```
ZrZnIrPt
1.0
-2.084 2.084 3.750
2.084 -2.084 3.750
2.084 2.084 -3.750
Zr Zn Ir Pt
1 1 1 1
Cartesian
0.000 0.000 0.000
0.000 0.000 3.750
0.000 2.084 1.875
2.084 0.000 1.875
```

Properties
Energy above the lowest structure with this stoichiometry ... 0.0 meV/atom
Total magnetic moment ... 0.0 μB per cell
Crystal system ... tetragonal

***

DFT (GGA-PBE) results for crystalline SmIn2Au at its relaxed geometry.

Geometry as POSCAR:
```
SmIn2Au
1.0
-2.400 2.400 8.414
2.400 -2.400 8.414
2.400 2.400 -8.414
Sm In Au
2 4 2
Cartesian
0.000 0.000 2.261
0.000 0.000 14.567
2.400 0.000 0.000
0.000 0.000 5.996
0.000 2.400 0.000
0.000 0.000 10.832
2.400 0.000 4.207
0.000 2.400 4.207
```

Properties
Total DFT energy (no corrections) ... -3.9312 eV per atom
Total magnetic moment ... 0.0 μB per cell
Crystal system ... tetragonal

***

DFT (GGA-PBE) results for crystalline Hf2MgScC at its relaxed geometry.

Geometry as POSCAR:
```
Hf2MgScC
1.0
4.544 0.000 0.000
0.000 4.544 0.000
0.000 0.000 4.579
Hf Mg Sc C
2 1 1 1
Cartesian
0.000 2.272 0.000
2.272 0.000 0.000
0.000 0.000 2.289
2.272 2.272 2.289
2.272 2.272 0.000
```

Properties
Total DFT energy (no corrections) ... -7.7315 eV per atom
Total magnetic moment ... 0.0 μB per cell
Crystal system ... tetragonal

***

DFT (GGA-PBE) results for crystalline Y5ThAl3 at its relaxed geometry.

Geometry as POSCAR:
```
Y5ThAl3
1.0
9.170 0.000 0.000
-4.585 7.942 0.000
0.000 0.000 6.627
Y Th Al
10 2 6
Cartesian
-1.524 2.640 1.657
-3.061 5.302 4.970
3.048 0.000 1.657
1.524 2.640 4.970
0.000 5.294 0.000
0.000 5.294 3.313
4.585 2.647 0.000
4.585 2.647 3.313
6.122 0.000 4.970
3.061 5.302 1.657
0.000 0.000 0.000
0.000 0.000 3.313
-1.545 2.675 4.970
-3.040 5.266 1.657
3.089 0.000 4.970
1.545 2.675 1.657
6.081 0.000 1.657
3.040 5.266 4.970
```

Properties
Total DFT energy (no corrections) ... -5.9321 eV per atom
Total magnetic moment ... 0.0 μB per cell
Crystal system ... hexagonal

***

DFT (GGA-PBE) results for crystalline NaGa2Pd at its relaxed geometry.

Geometry as POSCAR:
```
NaGa2Pd
1.0
1.514 0.874 9.893
-1.514 0.874 9.893
0.000 -1.748 9.893
Na Ga Pd
1 2 1
Cartesian
0.000 0.000 0.000
0.000 0.000 2.927
0.000 0.000 26.752
0.000 0.000 14.839
```

Properties
Total DFT energy (no corrections) ... -3.2887 eV per atom
Total magnetic moment ... 0.0 μB per cell
Crystal system ... trigonal

***

DFT (GGA-PBE) results for crystalline La2YTl at its relaxed geometry.

Geometry as POSCAR:
```
La2YTl
1.0
0.000 3.969 3.969
3.969 0.000 3.969
3.969 3.969 0.000
La Y Tl
2 1 1
Cartesian
0.000 0.000 0.000
1.985 1.985 1.985
5.954 5.954 5.954
3.969 3.969 3.969
```

Properties
Energy above the lowest structure with this stoichiometry ... 159.6 meV/atom
Total magnetic moment ... 1.4 μB per cell
Crystal system ... cubic

***

DFT (GGA-PBE) results for crystalline Li5CuHg6 at its relaxed geometry.

Geometry as POSCAR:
```
Li5CuHg6
1.0
7.302 -3.411 0.000
7.302 3.411 0.000
-1.422 0.000 4.420
Li Cu Hg
5 1 6
Cartesian
0.000 0.000 0.000
1.486 0.000 2.947
4.374 0.000 1.462
8.807 0.000 2.958
11.694 0.000 1.473
7.302 0.000 0.000
3.701 1.694 3.688
6.590 1.687 2.210
9.480 1.694 0.732
3.701 -1.694 3.688
6.590 -1.687 2.210
9.480 -1.694 0.732
```

Properties
Total DFT energy (no corrections) ... -1.5788 eV per atom
Total magnetic moment ... 0.0 μB per cell
Crystal system ... monoclinic

***

Q: Number 5 is which compound?
A: Y5ThAl3

***

Q: total magnetic moment of number 7 (La2YTl)?
A: 1.4 μB per cell